VASP calculation (GGA-PBE) on crystalline SiOs2Pt at its relaxed geometry.

abc: 3.8649 3.8649 3.8158
angles: 90.00 90.00 90.00
Fractional coordinates of all 4 atoms:
Si: 0.0000 0.0000 0.0000
Os: 0.0000 0.5000 0.5000
Os: 0.5000 0.0000 0.5000
Pt: 0.5000 0.5000 0.0000

Calculated values
raw total energy = -8.301 eV/atom
formation energy without anion corrections = 17.3 kJ per mole of atoms

***

VASP calculation (GGA-PBE) on crystalline GeNCl at its relaxed geometry.

abc: 3.3927 4.3500 12.3680
angles: 90.07 91.28 90.08
Fractional coordinates of all 6 atoms:
Ge: 0.1652 0.2500 0.4613
Ge: 0.8348 0.7500 0.5387
N: 0.2574 0.7489 0.1160
N: 0.7426 0.2511 0.8840
Cl: 0.2290 0.7509 0.6936
Cl: 0.7710 0.2491 0.3064

Calculated values
raw total energy = -3.434 eV/atom
formation energy without anion corrections = 144.3 kJ per mole of atoms
relative energy among the computed polymorphs = 1.644 eV per atom

***

- What is the raw total energy in the first record?
  -8.301 eV/atom

***

- Number 2 is which compound?
  GeNCl

***

Repeat the first record exactly.
VASP calculation (GGA-PBE) on crystalline SiOs2Pt at its relaxed geometry.

abc: 3.8649 3.8649 3.8158
angles: 90.00 90.00 90.00
Fractional coordinates of all 4 atoms:
Si: 0.0000 0.0000 0.0000
Os: 0.0000 0.5000 0.5000
Os: 0.5000 0.0000 0.5000
Pt: 0.5000 0.5000 0.0000

Calculated values
raw total energy = -8.301 eV/atom
formation energy without anion corrections = 17.3 kJ per mole of atoms

***

- Among the records above, which one has the lowest formation energy without anion corrections?
  SiOs2Pt